A geometry-optimized NaSr2Mg12Ag3 structure, computed with PBE-GGA.

## Properties
E_form   181 meV per atom

Cell: 9.0346 9.0346 22.5292 Å, 90.00 90.00 120.00°
Space group R-3m (No. 166, hexagonal axes)
Inequivalent atoms, fractional coordinates:
Na 0.0000 0.0000 0.0000 (multiplicity 3)
Sr 0.0000 0.0000 0.4159 (multiplicity 6)
Mg 0.0849 0.5424 0.3771 (multiplicity 18)
Mg 0.0876 0.5438 0.7785 (multiplicity 18)
Ag 0.0000 0.5000 0.5000 (multiplicity 9)